Entry from the Alexandria database: ScMoP2 at its PBEsol-relaxed geometry (SCAN).

Summary:
raw total energy: -71.9 eV for the cell shown
formation enthalpy at 0 K: -191 kJ/mol of formula units
excess energy over the best structure of this formula in the dataset: 190.2 meV per atom

abc: 4.350 4.350 3.085
angles: 90.00 90.00 90.00
Sites, in units of the cell vectors:
Sc 0.000 0.000 0.000
Mo 0.500 0.500 0.000
P 0.000 0.500 0.500
P 0.500 0.000 0.500